Computed, not measured: a geometry-optimized CrFe2Rh structure at the PBE level of DFT.

a = 4.1408 Å, b = 4.1408 Å, c = 4.1408 Å
α = 60.00°, β = 60.00°, γ = 60.00°
With the nearest neighbours (Å) after each atom.
Element x y z (fractional)
Cr: 0.0000 0.0000 0.0000  4 Fe 2.54, 4 Rh 2.54
Fe: 0.2500 0.2500 0.2500  4 Cr 2.54, 4 Fe 2.54
Fe: 0.5000 0.5000 0.5000  4 Fe 2.54, 4 Rh 2.54
Rh: 0.7500 0.7500 0.7500  4 Fe 2.54, 4 Cr 2.54

Output
As for the space group: F-43m, No. 216. The value obtained for the formation energy is 133 meV/atom.